# 1
{"formula": "Y4Ag", "functional": "PBE-GGA", "state": "optimized geometry", "formation_energy_ev_per_atom": 0.03, "polymorph_energy_mev_per_atom": 140, "total_magnetization_mub_per_cell": 1.57, "volume_a3_per_cell": 293.2, "energy_ev_per_atom": -5.714, "lattice_angstrom": [[7.455, 0.000, 0.000], [0.000, 7.455, 0.000], [0.000, 0.000, 5.276]], "species": ["Y", "Y", "Y", "Y", "Y", "Y", "Y", "Y", "Ag", "Ag"], "fractional_positions": [[0.126, 0.683, 0.000], [0.183, 0.374, 0.500], [0.317, 0.126, 0.000], [0.374, 0.817, 0.500], [0.626, 0.183, 0.500], [0.683, 0.874, 0.000], [0.817, 0.626, 0.500], [0.874, 0.317, 0.000], [0.000, 0.000, 0.500], [0.500, 0.500, 0.000]]}

=====

# 2
{"formula": "Y3Ag2", "functional": "PBE-GGA", "state": "optimized geometry", "formation_energy_ev_per_atom": -0.10, "polymorph_energy_mev_per_atom": 154, "total_magnetization_mub_per_cell": 0.00, "volume_a3_per_cell": 257.9, "energy_ev_per_atom": -5.119, "lattice_angstrom": [[0.000, 7.791, 3.088], [5.361, 0.000, 3.088], [5.361, 7.791, 0.000]], "species": ["Y", "Y", "Y", "Y", "Y", "Y", "Ag", "Ag", "Ag", "Ag"], "fractional_positions": [[0.000, 0.000, 0.000], [0.250, 0.250, 0.250], [0.433, 0.570, 0.357], [0.570, 0.433, 0.639], [0.611, 0.893, 0.680], [0.893, 0.611, 0.817], [0.148, 0.798, 0.251], [0.447, 0.999, 0.452], [0.798, 0.148, 0.803], [0.999, 0.447, 0.102]]}

=====

# 3
{"formula": "Y2Ag", "functional": "PBE-GGA", "state": "optimized geometry", "formation_energy_ev_per_atom": -0.17, "total_magnetization_mub_per_cell": 0.00, "volume_a3_per_cell": 249.6, "energy_ev_per_atom": -5.426, "lattice_angstrom": [[7.631, 0.000, 0.000], [-3.815, 6.608, 0.000], [0.000, 0.000, 4.949]], "species": ["Y", "Y", "Y", "Y", "Y", "Y", "Ag", "Ag", "Ag"], "fractional_positions": [[0.000, 0.261, 0.000], [0.000, 0.594, 0.500], [0.261, 0.000, 0.000], [0.406, 0.406, 0.500], [0.594, 0.000, 0.500], [0.739, 0.739, 0.000], [0.000, 0.000, 0.500], [0.333, 0.667, 0.000], [0.667, 0.333, 0.000]]}

=====

# 4
{"formula": "Y5Ag4", "functional": "PBE-GGA", "state": "optimized geometry", "formation_energy_ev_per_atom": -0.01, "polymorph_energy_mev_per_atom": 192, "total_magnetization_mub_per_cell": 1.95, "volume_a3_per_cell": 223.8, "energy_ev_per_atom": -4.866, "lattice_angstrom": [[-4.771, 4.771, 2.458], [4.771, -4.771, 2.458], [4.771, 4.771, -2.458]], "species": ["Y", "Y", "Y", "Y", "Y", "Ag", "Ag", "Ag", "Ag"], "fractional_positions": [[0.000, 0.000, 0.000], [0.326, 0.326, 0.652], [0.326, 0.674, 0.000], [0.674, 0.326, 0.000], [0.674, 0.674, 0.348], [0.000, 0.341, 0.341], [0.000, 0.659, 0.659], [0.341, 0.000, 0.341], [0.659, 0.000, 0.659]]}

=====

# 5
{"formula": "Y2Ag", "functional": "PBE-GGA", "state": "optimized geometry", "formation_energy_ev_per_atom": -0.20, "total_magnetization_mub_per_cell": 0.00, "volume_a3_per_cell": 653.5, "energy_ev_per_atom": -5.463, "lattice_angstrom": [[0.000, 6.888, 6.888], [6.888, 0.000, 6.888], [6.888, 6.888, 0.000]], "species": ["Y", "Y", "Y", "Y", "Y", "Y", "Y", "Y", "Y", "Y", "Y", "Y", "Y", "Y", "Y", "Y", "Ag", "Ag", "Ag", "Ag", "Ag", "Ag", "Ag", "Ag"], "fractional_positions": [[0.000, 0.000, 0.000], [0.000, 0.000, 0.500], [0.000, 0.500, 0.000], [0.189, 0.189, 0.561], [0.189, 0.561, 0.189], [0.189, 0.561, 0.561], [0.439, 0.439, 0.811], [0.439, 0.811, 0.439], [0.439, 0.811, 0.811], [0.500, 0.000, 0.000], [0.561, 0.189, 0.189], [0.561, 0.189, 0.561], [0.561, 0.561, 0.189], [0.811, 0.439, 0.439], [0.811, 0.439, 0.811], [0.811, 0.811, 0.439], [0.154, 0.782, 0.782], [0.218, 0.218, 0.218], [0.218, 0.218, 0.846], [0.218, 0.846, 0.218], [0.782, 0.154, 0.782], [0.782, 0.782, 0.154], [0.782, 0.782, 0.782], [0.846, 0.218, 0.218]]}

=====

# 6
{"formula": "Y2Ag", "functional": "PBE-GGA", "state": "optimized geometry", "formation_energy_ev_per_atom": 0.23, "total_magnetization_mub_per_cell": 0.00, "volume_a3_per_cell": 76.2, "energy_ev_per_atom": -5.026, "lattice_angstrom": [[5.283, 0.000, 0.000], [-2.641, 4.575, 0.000], [0.000, 0.000, 3.153]], "species": ["Y", "Y", "Ag"], "fractional_positions": [[0.333, 0.667, 0.000], [0.667, 0.333, 0.000], [0.000, 0.000, 0.500]]}

=====

# 7
{"formula": "Y13Ag2", "functional": "PBE-GGA", "state": "optimized geometry", "formation_energy_ev_per_atom": -0.04, "total_magnetization_mub_per_cell": 0.00, "volume_a3_per_cell": 454.2, "energy_ev_per_atom": -6.018, "lattice_angstrom": [[6.674, 0.000, 0.000], [1.138, 8.500, 0.000], [1.664, 3.353, 8.006]], "species": ["Y", "Y", "Y", "Y", "Y", "Y", "Y", "Y", "Y", "Y", "Y", "Y", "Y", "Ag", "Ag"], "fractional_positions": [[0.000, 0.000, 0.000], [0.117, 0.476, 0.729], [0.199, 0.234, 0.148], [0.243, 0.947, 0.576], [0.305, 0.656, 0.969], [0.372, 0.408, 0.388], [0.494, 0.856, 0.206], [0.506, 0.144, 0.794], [0.628, 0.592, 0.612], [0.695, 0.344, 0.031], [0.757, 0.053, 0.424], [0.801, 0.766, 0.852], [0.883, 0.524, 0.271], [0.060, 0.772, 0.382], [0.940, 0.228, 0.618]]}

=====

# 8
{"formula": "Y4Ag", "functional": "PBE-GGA", "state": "optimized geometry", "formation_energy_ev_per_atom": 0.24, "polymorph_energy_mev_per_atom": 354, "total_magnetization_mub_per_cell": 0.00, "volume_a3_per_cell": 172.9, "energy_ev_per_atom": -5.500, "lattice_angstrom": [[5.571, 0.000, 0.000], [0.000, 5.571, 0.000], [0.000, 0.000, 5.571]], "species": ["Y", "Y", "Y", "Y", "Ag"], "fractional_positions": [[0.000, 0.000, 0.000], [0.000, 0.500, 0.500], [0.500, 0.000, 0.500], [0.500, 0.500, 0.000], [0.500, 0.500, 0.500]]}

=====

# 9
{"formula": "YAg7", "functional": "PBE-GGA", "state": "optimized geometry", "formation_energy_ev_per_atom": -0.01, "total_magnetization_mub_per_cell": 0.00, "volume_a3_per_cell": 154.8, "energy_ev_per_atom": -3.318, "lattice_angstrom": [[0.000, 4.262, 4.262], [4.262, 0.000, 4.262], [4.262, 4.262, 0.000]], "species": ["Y", "Ag", "Ag", "Ag", "Ag", "Ag", "Ag", "Ag"], "fractional_positions": [[0.000, 0.000, 0.000], [0.000, 0.000, 0.500], [0.000, 0.500, 0.000], [0.000, 0.500, 0.500], [0.500, 0.000, 0.000], [0.500, 0.000, 0.500], [0.500, 0.500, 0.000], [0.500, 0.500, 0.500]]}

=====

# 10
{"formula": "Y2Ag3", "functional": "PBE-GGA", "state": "optimized geometry", "formation_energy_ev_per_atom": -0.24, "polymorph_energy_mev_per_atom": 70, "total_magnetization_mub_per_cell": 0.00, "volume_a3_per_cell": 234.3, "energy_ev_per_atom": -4.534, "lattice_angstrom": [[0.000, 7.626, 2.981], [5.153, 0.000, 2.981], [5.153, 7.626, 0.000]], "species": ["Y", "Y", "Y", "Y", "Ag", "Ag", "Ag", "Ag", "Ag", "Ag"], "fractional_positions": [[0.226, 0.774, 0.379], [0.629, 0.871, 0.476], [0.774, 0.226, 0.621], [0.871, 0.629, 0.024], [0.178, 0.804, 0.061], [0.189, 0.293, 0.072], [0.293, 0.189, 0.446], [0.348, 0.348, 0.652], [0.598, 0.598, 0.902], [0.804, 0.178, 0.957]]}

=====

# 11
{"formula": "Y3Ag2", "functional": "PBE-GGA", "state": "optimized geometry", "formation_energy_ev_per_atom": -0.03, "polymorph_energy_mev_per_atom": 223, "total_magnetization_mub_per_cell": 0.00, "volume_a3_per_cell": 407.1, "energy_ev_per_atom": -5.050, "lattice_angstrom": [[3.572, 0.000, 0.000], [-1.786, 3.093, 0.000], [0.000, 0.000, 36.847]], "species": ["Y", "Y", "Y", "Y", "Y", "Y", "Y", "Y", "Y", "Ag", "Ag", "Ag", "Ag", "Ag", "Ag"], "fractional_positions": [[0.000, 0.000, 0.000], [0.000, 0.000, 0.206], [0.000, 0.000, 0.794], [0.333, 0.667, 0.461], [0.333, 0.667, 0.667], [0.333, 0.667, 0.873], [0.667, 0.333, 0.127], [0.667, 0.333, 0.333], [0.667, 0.333, 0.539], [0.000, 0.000, 0.396], [0.000, 0.000, 0.604], [0.333, 0.667, 0.063], [0.333, 0.667, 0.270], [0.667, 0.333, 0.730], [0.667, 0.333, 0.937]]}

=====

# 12
{"formula": "Y4Ag5", "functional": "PBE-GGA", "state": "optimized geometry", "formation_energy_ev_per_atom": -0.20, "polymorph_energy_mev_per_atom": 0, "total_magnetization_mub_per_cell": 0.00, "volume_a3_per_cell": 433.2, "energy_ev_per_atom": -4.653, "lattice_angstrom": [[8.904, 0.000, 0.000], [-4.452, 7.712, 0.000], [0.000, 0.000, 6.309]], "species": ["Y", "Y", "Y", "Y", "Y", "Y", "Y", "Y", "Ag", "Ag", "Ag", "Ag", "Ag", "Ag", "Ag", "Ag", "Ag", "Ag"], "fractional_positions": [[0.000, 0.000, 0.000], [0.000, 0.000, 0.500], [0.000, 0.364, 0.250], [0.000, 0.636, 0.750], [0.364, 0.000, 0.250], [0.364, 0.364, 0.750], [0.636, 0.000, 0.750], [0.636, 0.636, 0.250], [0.000, 0.305, 0.750], [0.000, 0.695, 0.250], [0.305, 0.000, 0.750], [0.305, 0.305, 0.250], [0.333, 0.667, 0.000], [0.333, 0.667, 0.500], [0.667, 0.333, 0.000], [0.667, 0.333, 0.500], [0.695, 0.000, 0.250], [0.695, 0.695, 0.750]]}

=====

Per-record density, g/cm³: 5.250, 6.212, 5.702, 6.499, 5.807, 6.224, 5.014, 4.451, 9.054, 7.108, 5.904, 6.861